Here is crystalline Cd2GaNi at its relaxed geometry from OQMD via LeMat-Bulk. Energies are from PBE-GGA.

Lattice parameters (Å, degrees): 4.598 4.598 4.598 60.00 60.00 60.00
Fractional positions:
Ga: 0.500 0.500 0.500
Cd: 0.750 0.750 0.750
Ni: 0.250 0.250 0.250
Cd: 0.000 0.000 0.000

Summary:
E_tot in eV/atom: -2.48
Space-group type: F-43m, No. 216

***

Here is crystalline CdGaNi2 at its relaxed geometry from OQMD via LeMat-Bulk. Energies are from PBE-GGA.

Lattice parameters (Å, degrees): 4.294 4.294 4.294 60.00 60.00 60.00
Fractional positions:
Cd: 0.250 0.250 0.250
Ni: 0.000 0.000 0.000
Ga: 0.500 0.500 0.500
Ni: 0.750 0.750 0.750

Summary:
E_tot in eV/atom: -3.73
Space-group type: F-43m, No. 216

***

Here is crystalline CdGa2Ni at its relaxed geometry from OQMD via LeMat-Bulk. Energies are from PBE-GGA.

Lattice parameters (Å, degrees): 4.542 4.542 4.542 60.00 60.00 60.00
Fractional positions:
Ga: 0.250 0.250 0.250
Ga: 0.500 0.500 0.500
Cd: 0.750 0.750 0.750
Ni: 0.000 0.000 0.000

Summary:
E_tot in eV/atom: -3.01
Space-group type: F-43m, No. 216

***

Here is crystalline CdGa2Ni at its relaxed geometry from OQMD via LeMat-Bulk. Energies are from PBE-GGA.

Lattice parameters (Å, degrees): 4.547 4.547 4.547 60.00 60.00 60.00
Fractional positions:
Ga: 0.750 0.750 0.750
Ni: 0.000 0.000 0.000
Cd: 0.250 0.250 0.250
Ga: 0.500 0.500 0.500

Summary:
E_tot in eV/atom: -3.01
Space-group type: F-43m, No. 216

***

Here is crystalline CdGaNiPt at its relaxed geometry from OQMD via LeMat-Bulk. Energies are from PBE-GGA.

Lattice parameters (Å, degrees): 4.431 4.431 4.431 60.00 60.00 60.00
Fractional positions:
Ga: 0.000 0.000 0.000
Pt: 0.250 0.250 0.250
Ni: 0.750 0.750 0.750
Cd: 0.500 0.500 0.500

Summary:
E_tot in eV/atom: -4.13
Space-group type: F-43m, No. 216

***

Here is crystalline TaCdGaNi at its relaxed geometry from OQMD via LeMat-Bulk. Energies are from PBE-GGA.

Lattice parameters (Å, degrees): 4.503 4.503 4.503 60.00 60.00 60.00
Fractional positions:
Ga: 0.000 0.000 0.000
Cd: 0.500 0.500 0.500
Ni: 0.750 0.750 0.750
Ta: 0.250 0.250 0.250

Summary:
E_tot in eV/atom: -5.05
Space-group type: F-43m, No. 216